# 1
GGA-PBE Pm12Ge7Os, relaxed; magnetic moment = 0.001 μB per formula unit; space group = No. 148; energy relative to the elements = -428 meV per atom; total energy = -5.456 eV/atom
1.0
9.0735 -0.2861 -0.4294
-2.7978 8.6362 -0.4294
-2.7978 -3.7226 7.8045
Pm Ge Os
12 7 1
direct
0.8666 0.3410 0.7199 Pm
0.6590 0.2801 0.1334 Pm
0.3922 0.0960 0.3115 Pm
0.9040 0.6885 0.6078 Pm
0.2801 0.1334 0.6590 Pm
0.6885 0.6078 0.9040 Pm
0.3115 0.3922 0.0960 Pm
0.7199 0.8666 0.3410 Pm
0.0960 0.3115 0.3922 Pm
0.6078 0.9040 0.6885 Pm
0.3410 0.7199 0.8666 Pm
0.1334 0.6590 0.2801 Pm
0.0634 0.7337 0.9739 Ge
0.2663 0.0261 0.9366 Ge
0.0261 0.9366 0.2663 Ge
0.5000 0.5000 0.5000 Ge
0.9739 0.0634 0.7337 Ge
0.7337 0.9739 0.0634 Ge
0.9366 0.2663 0.0261 Ge
0.0000 0.0000 0.0000 Os

# 2
GGA-PBE Ba2HgGe3Pd4, relaxed; magnetic moment = 0.000 μB per formula unit; space group = No. 115; energy relative to the elements = -598 meV per atom; total energy = -4.475 eV/atom
1.0
-0.0213 0.8998 4.5700
-1.3913 -4.3627 0.8525
9.8605 -3.0194 0.6404
Ba Hg Ge Pd
2 1 3 4
direct
0.5000 0.0000 0.2494 Ba
0.0000 0.5000 0.7506 Ba
0.5000 0.5000 0.5000 Hg
0.0000 0.0000 0.5000 Ge
0.5000 0.0000 0.8915 Ge
0.0000 0.5000 0.1085 Ge
0.5000 0.5000 0.0000 Pd
0.0000 0.0000 0.0000 Pd
0.5000 0.0000 0.6454 Pd
0.0000 0.5000 0.3546 Pd

# 3
GGA-PBE Sc4TlRu, relaxed; magnetic moment = 0.001 μB per formula unit; space group = No. 216; energy relative to the elements = 350 meV per atom; relative energy among the computed polymorphs = 66.5 kJ/mol of atoms; total energy = -5.811 eV/atom
1.0
4.9937 1.9947 1.6116
1.0017 1.0031 5.4317
3.5466 -3.2851 2.8535
Sc Tl Ru
4 1 1
direct
0.8810 0.3730 0.3730 Sc
0.3730 0.3730 0.8810 Sc
0.3730 0.8810 0.3730 Sc
0.3730 0.3730 0.3730 Sc
0.7500 0.7500 0.7500 Tl
0.0000 0.0000 0.0000 Ru

# 4
GGA-PBE Si2TcW, relaxed; magnetic moment = 0.000 μB per formula unit; space group = No. 122; ΔE_f (raw) = 11.615 kcal/mol of atoms; relative energy among the computed polymorphs = 84.8 kJ/mol of atoms; total energy = -8.038 eV/atom
1.0
6.4934 0.0000 0.0000
0.0000 6.4934 0.0000
3.2467 3.2467 2.9503
Si Tc W
4 2 2
direct
0.6129 0.1250 0.2500 Si
0.1371 0.6250 0.2500 Si
0.3750 0.3871 0.7500 Si
0.8750 0.8629 0.7500 Si
0.5000 0.5000 0.0000 Tc
0.2500 0.7500 0.5000 Tc
0.0000 0.0000 0.0000 W
0.7500 0.2500 0.5000 W

# 5
GGA-PBE LiCdCl, relaxed; magnetic moment = 0.000 μB per formula unit; space group = No. 216; ΔE_f (raw) = -9.153 kcal/mol of atoms; relative energy among the computed polymorphs = 54.0 kJ/mol of atoms; total energy = -1.955 eV/atom
1.0
-0.0579 -4.6387 -2.0067
4.1686 -1.8709 -2.1611
2.5398 -3.7535 2.2378
Cd Cl Li
1 1 1
direct
0.7500 0.7500 0.7500 Cd
0.0000 0.0000 0.0000 Cl
0.5000 0.5000 0.5000 Li

# 6
GGA-PBE Y8Ho3Sc3, relaxed; magnetic moment = 0.000 μB per formula unit; space group = No. 71; energy relative to the elements = 137 meV per atom; total energy = -5.894 eV/atom
1.0
-0.5371 0.5135 5.4844
3.4599 -7.9260 3.8721
6.2485 6.5546 2.7893
Y Ho Sc
8 3 3
direct
0.6580 0.1221 0.5618 Y
0.3420 0.8779 0.4382 Y
0.6580 0.5618 0.1221 Y
0.3420 0.4382 0.8779 Y
0.8395 0.7624 0.5585 Y
0.1605 0.2376 0.4415 Y
0.8395 0.5585 0.7624 Y
0.1605 0.4415 0.2376 Y
0.5000 0.0000 0.0000 Ho
0.0000 0.8245 0.1755 Ho
0.0000 0.1755 0.8245 Ho
0.5000 0.5000 0.5000 Sc
0.7945 0.2055 0.2055 Sc
0.2055 0.7945 0.7945 Sc

# 7
GGA-PBE Tl2CuAg2Br6, relaxed; magnetic moment = 0.846 μB per formula unit; space group = No. 12; ΔE_f (raw) = -11.011 kcal/mol of atoms; total energy = -2.711 eV/atom
1.0
-4.1784 0.5506 -5.9925
-1.0061 -7.5311 4.4878
-3.7397 4.3517 3.0074
Tl Cu Ag Br
2 1 2 6
direct
0.7376 0.4751 0.1894 Tl
0.2624 0.5249 0.8106 Tl
0.5000 0.0000 0.5000 Cu
0.9590 0.9179 0.7550 Ag
0.0410 0.0821 0.2450 Ag
0.7948 0.5895 0.7168 Br
0.1948 0.8526 0.2370 Br
0.3423 0.1474 0.7630 Br
0.8052 0.1474 0.7630 Br
0.6577 0.8526 0.2370 Br
0.2052 0.4105 0.2832 Br

# 8
GGA-PBE YNiOs, relaxed; magnetic moment = 1.479 μB per formula unit; space group = No. 216; energy relative to the elements = 349 meV per atom; relative energy among the computed polymorphs = 68.5 kJ/mol of atoms; total energy = -7.476 eV/atom
1.0
-2.0927 3.2114 -2.0268
-3.4634 -0.8797 -2.4558
-3.9546 1.1860 1.3246
Ni Os Y
1 1 1
direct
0.2500 0.2500 0.2500 Ni
0.0000 0.0000 0.0000 Os
0.5000 0.5000 0.5000 Y

Copy entry 8 word for word.
GGA-PBE YNiOs, relaxed; magnetic moment = 1.479 μB per formula unit; space group = No. 216; energy relative to the elements = 349 meV per atom; relative energy among the computed polymorphs = 68.5 kJ/mol of atoms; total energy = -7.476 eV/atom
1.0
-2.0927 3.2114 -2.0268
-3.4634 -0.8797 -2.4558
-3.9546 1.1860 1.3246
Ni Os Y
1 1 1
direct
0.2500 0.2500 0.2500 Ni
0.0000 0.0000 0.0000 Os
0.5000 0.5000 0.5000 Y

- Which of these has the lowest total energy?
  Si2TcW